The following is a DFT calculation (PBE) of a relaxed structure of CuRe2NiAg.

Values from the calculation:
Formation energy from the elements   2763.5 meV/atom
Magnetization   6.27 μB/f.u.

Cell lengths 4.883, 4.883, 4.550 Å; angles 90.00, 90.00, 90.00 degrees
Space group P4/mmm (No. 123)
One atom of each set of equivalent atoms:
Cu (0.000, 0.000, 0.000) (multiplicity 1)
Re (0.000, 0.500, 0.500) (multiplicity 2)
Ni (0.500, 0.500, 0.000) (multiplicity 1)
Ag (0.500, 0.500, 0.500) (multiplicity 1)

=====

The following is a DFT calculation (PBE) of a relaxed structure of Cu2NiAgSb.

Values from the calculation:
Formation energy without anion corrections   492.0 meV/atom
Magnetization   0.00 μB/f.u.

Cell lengths 4.563, 4.563, 4.578 Å; angles 90.00, 90.00, 90.00 degrees
Space group P4/mmm (No. 123)
One atom of each set of equivalent atoms:
Cu (0.000, 0.500, 0.000) (multiplicity 2)
Ni (0.000, 0.000, 0.000) (multiplicity 1)
Ag (0.500, 0.500, 0.500) (multiplicity 1)
Sb (0.000, 0.000, 0.500) (multiplicity 1)

=====

The following is a DFT calculation (PBE) of a relaxed structure of Sc4Cu2NiAg.

Values from the calculation:
Formation energy from the elements   -324.5 meV/atom
Magnetization   0.00 μB/f.u.

Cell lengths 4.6419, 4.6419, 22.7812 Å; angles 90.00, 90.00, 120.00 degrees
Space group R-3m (No. 166, hexagonal axes)
One atom of each set of equivalent atoms:
Sc (0.0000, 0.0000, 0.1187) (multiplicity 6)
Sc (0.0000, 0.0000, 0.3699) (multiplicity 6)
Cu (0.0000, 0.0000, 0.2474) (multiplicity 6)
Ni (0.0000, 0.0000, 0.0000) (multiplicity 3)
Ag (0.0000, 0.0000, 0.5000) (multiplicity 3)

=====

The following is a DFT calculation (PBE) of a relaxed structure of ScCuNiAg.

Values from the calculation:
Formation energy from the elements   -184.5 meV/atom
Magnetization   0.00 μB/f.u.

Cell lengths 6.264, 6.264, 6.264 Å; angles 90.00, 90.00, 90.00 degrees
Space group F-43m (No. 216)
One atom of each set of equivalent atoms:
Sc (0.000, 0.000, 0.000) (multiplicity 4)
Cu (0.250, 0.250, 0.750) (multiplicity 4)
Ni (0.250, 0.250, 0.250) (multiplicity 4)
Ag (0.000, 0.000, 0.500) (multiplicity 4)

=====

The following is a DFT calculation (PBE) of a relaxed structure of CuSiNi2Ag.

Values from the calculation:
Formation energy without anion corrections   1057.7 meV/atom
Magnetization   0.61 μB/f.u.

Cell lengths 4.320, 4.320, 4.626 Å; angles 90.00, 90.00, 90.00 degrees
Space group P4/mmm (No. 123)
One atom of each set of equivalent atoms:
Cu (0.000, 0.000, 0.000) (multiplicity 1)
Si (0.500, 0.500, 0.500) (multiplicity 1)
Ni (0.000, 0.500, 0.000) (multiplicity 2)
Ag (0.000, 0.000, 0.500) (multiplicity 1)

=====

The following is a DFT calculation (PBE) of a relaxed structure of Sm2Cu5Ni2Ag.

Values from the calculation:
Formation energy from the elements   -138.3 meV/atom
Magnetization   0.00 μB/f.u.

Cell lengths 9.125, 9.125, 3.877 Å; angles 90.00, 90.00, 90.00 degrees
Space group P4/mbm (No. 127)
One atom of each set of equivalent atoms:
Sm (0.182, 0.318, 0.000) (multiplicity 4)
Cu (0.000, 0.500, 0.500) (multiplicity 2)
Cu (0.058, 0.789, 0.500) (multiplicity 8)
Ni (0.114, 0.614, 0.000) (multiplicity 4)
Ag (0.000, 0.000, 0.000) (multiplicity 2)

=====

The following is a DFT calculation (PBE) of a relaxed structure of CuNiAgSn.

Values from the calculation:
Formation energy from the elements   17.5 meV/atom
Magnetization   0.00 μB/f.u.

Cell lengths 6.277, 6.277, 6.277 Å; angles 90.00, 90.00, 90.00 degrees
Space group F-43m (No. 216)
One atom of each set of equivalent atoms:
Cu (0.000, 0.000, 0.000) (multiplicity 4)
Ni (0.000, 0.000, 0.500) (multiplicity 4)
Ag (0.250, 0.250, 0.750) (multiplicity 4)
Sn (0.250, 0.250, 0.250) (multiplicity 4)

=====

The following is a DFT calculation (PBE) of a relaxed structure of Cu2Ni3AgTe8.

Values from the calculation:
Formation energy without anion corrections   -97.4 meV/atom
Magnetization   0.00 μB/f.u.

Cell lengths 7.8153, 7.8153, 19.2372 Å; angles 90.00, 90.00, 120.00 degrees
Space group R3m (No. 160, hexagonal axes)
One atom of each set of equivalent atoms:
Cu (0.0000, 0.0000, 0.0000) (multiplicity 3)
Cu (0.0000, 0.0000, 0.3741) (multiplicity 3)
Ni (0.1673, 0.3347, 0.8316) (multiplicity 9)
Ag (0.0000, 0.0000, 0.6238) (multiplicity 3)
Te (0.0000, 0.0000, 0.2371) (multiplicity 3)
Te (0.0000, 0.0000, 0.7644) (multiplicity 3)
Te (0.0253, 0.5126, 0.7553) (multiplicity 9)
Te (0.1859, 0.3717, 0.5735) (multiplicity 9)

=====

The following is a DFT calculation (PBE) of a relaxed structure of Th2Cu12Ni3Ag.

Values from the calculation:
Formation energy from the elements   504.2 meV/atom
Magnetization   0.00 μB/f.u.

Cell lengths 8.0007, 8.0007, 17.1961 Å; angles 90.00, 90.00, 120.00 degrees
Space group R-3m (No. 166, hexagonal axes)
One atom of each set of equivalent atoms:
Th (0.0000, 0.0000, 0.1091) (multiplicity 6)
Cu (0.0151, 0.5075, 0.8683) (multiplicity 18)
Cu (0.0185, 0.5092, 0.3658) (multiplicity 18)
Ni (0.0000, 0.5000, 0.0000) (multiplicity 9)
Ag (0.0000, 0.0000, 0.5000) (multiplicity 3)

=====

The following is a DFT calculation (PBE) of a relaxed structure of TmCuNiAg.

Values from the calculation:
Formation energy from the elements   -177.2 meV/atom
Magnetization   0.00 μB/f.u.

Cell lengths 6.433, 6.433, 6.433 Å; angles 90.00, 90.00, 90.00 degrees
Space group F-43m (No. 216)
One atom of each set of equivalent atoms:
Tm (0.000, 0.000, 0.000) (multiplicity 4)
Cu (0.250, 0.250, 0.250) (multiplicity 4)
Ni (0.250, 0.250, 0.750) (multiplicity 4)
Ag (0.000, 0.000, 0.500) (multiplicity 4)

=====

The following is a DFT calculation (PBE) of a relaxed structure of Y2Cu12Ni3Ag.

Values from the calculation:
Formation energy from the elements   68.9 meV/atom
Magnetization   0.00 μB/f.u.

Cell lengths 8.5677, 8.5677, 12.2192 Å; angles 90.00, 90.00, 120.00 degrees
Space group R-3m (No. 166, hexagonal axes)
One atom of each set of equivalent atoms:
Y (0.0000, 0.0000, 0.2469) (multiplicity 6)
Cu (0.0030, 0.5015, 0.2045) (multiplicity 18)
Cu (0.0453, 0.5227, 0.6009) (multiplicity 18)
Ni (0.0000, 0.5000, 0.0000) (multiplicity 9)
Ag (0.0000, 0.0000, 0.5000) (multiplicity 3)

=====

The following is a DFT calculation (PBE) of a relaxed structure of ZnCuNiAg.

Values from the calculation:
Formation energy from the elements   39.2 meV/atom
Magnetization   0.00 μB/f.u.

Cell lengths 6.024, 6.024, 6.024 Å; angles 90.00, 90.00, 90.00 degrees
Space group F-43m (No. 216)
One atom of each set of equivalent atoms:
Zn (0.000, 0.000, 0.000) (multiplicity 4)
Cu (0.000, 0.000, 0.500) (multiplicity 4)
Ni (0.250, 0.250, 0.750) (multiplicity 4)
Ag (0.250, 0.250, 0.250) (multiplicity 4)

=====

The following is a DFT calculation (PBE) of a relaxed structure of NpCuAg.

Values from the calculation:
Formation energy from the elements   197.5 meV/atom
Magnetization   0.00 μB/f.u.

Cell lengths 3.839, 4.041, 12.925 Å; angles 90.00, 94.87, 90.00 degrees
Space group C2/m (No. 12)
One atom of each set of equivalent atoms:
Np (0.122, 0.000, 0.086) (multiplicity 4)
Cu (0.177, 0.500, 0.264) (multiplicity 4)
Ag (0.224, 0.000, 0.413) (multiplicity 4)

=====

The following is a DFT calculation (PBE) of a relaxed structure of NpCu4Ag.

Values from the calculation:
Formation energy from the elements   120.5 meV/atom
Magnetization   3.86 μB/f.u.

Cell lengths 7.193, 7.193, 7.193 Å; angles 90.00, 90.00, 90.00 degrees
Space group F-43m (No. 216)
One atom of each set of equivalent atoms:
Np (0.000, 0.000, 0.000) (multiplicity 4)
Cu (0.124, 0.124, 0.376) (multiplicity 16)
Ag (0.250, 0.250, 0.750) (multiplicity 4)

=====

The following is a DFT calculation (PBE) of a relaxed structure of NpCu2Ag2O6.

Values from the calculation:
Formation energy without anion corrections   -1112.6 meV/atom
Magnetization   0.96 μB/f.u.

Cell lengths 5.7317, 5.7317, 5.7189 Å; angles 90.00, 90.00, 120.00 degrees
Space group P-3 (No. 147)
One atom of each set of equivalent atoms:
Np (0.0000, 0.0000, 0.0000) (multiplicity 1)
Cu (0.3333, 0.6667, 0.7875) (multiplicity 2)
Ag (0.3333, 0.6667, 0.3040) (multiplicity 2)
O (0.0418, 0.3095, 0.7882) (multiplicity 6)

=====

The following is a DFT calculation (PBE) of a relaxed structure of NpCu2AgO6.

Values from the calculation:
Formation energy without anion corrections   -1253.5 meV/atom
Magnetization   0.89 μB/f.u.

Cell lengths 11.296, 8.941, 6.550 Å; angles 90.00, 113.69, 90.00 degrees
Space group C2/c (No. 15)
One atom of each set of equivalent atoms:
Np (0.000, 0.237, 0.250) (multiplicity 4)
Cu (0.194, 0.061, 0.634) (multiplicity 8)
Ag (0.000, 0.399, 0.750) (multiplicity 4)
O (0.069, 0.226, 0.586) (multiplicity 8)
O (0.123, 0.403, 0.234) (multiplicity 8)
O (0.142, 0.075, 0.307) (multiplicity 8)

=====

The following is a DFT calculation (PBE) of a relaxed structure of NpCu2AgO8.

Values from the calculation:
Formation energy without anion corrections   -827.6 meV/atom
Magnetization   0.00 μB/f.u.

Cell lengths 6.593, 6.593, 6.981 Å; angles 90.00, 90.00, 90.00 degrees
Space group I-4m2 (No. 119)
One atom of each set of equivalent atoms:
Np (0.000, 0.000, 0.000) (multiplicity 2)
Cu (0.000, 0.000, 0.500) (multiplicity 2)
Cu (0.000, 0.500, 0.750) (multiplicity 2)
Ag (0.000, 0.500, 0.250) (multiplicity 2)
O (0.000, 0.174, 0.293) (multiplicity 8)
O (0.000, 0.294, 0.939) (multiplicity 8)

=====

The following is a DFT calculation (PBE) of a relaxed structure of NpCuAgO6.

Values from the calculation:
Formation energy without anion corrections   -1263.4 meV/atom
Magnetization   1.04 μB/f.u.

Cell lengths 5.2850, 5.2850, 9.5881 Å; angles 90.00, 90.00, 120.00 degrees
Space group P-31c (No. 163)
One atom of each set of equivalent atoms:
Np (0.3333, 0.6667, 0.2500) (multiplicity 2)
Cu (0.3333, 0.6667, 0.7500) (multiplicity 2)
Ag (0.0000, 0.0000, 0.0000) (multiplicity 2)
O (0.0024, 0.3536, 0.6389) (multiplicity 12)

=====

The following is a DFT calculation (PBE) of a relaxed structure of NpCuAg2O6.

Values from the calculation:
Formation energy without anion corrections   -1235.0 meV/atom
Magnetization   0.00 μB/f.u.

Cell lengths 11.053, 5.561, 4.961 Å; angles 90.00, 114.86, 90.00 degrees
Space group C2/m (No. 12)
One atom of each set of equivalent atoms:
Np (0.000, 0.000, 0.000) (multiplicity 2)
Cu (0.000, 0.500, 0.500) (multiplicity 2)
Ag (0.234, 0.500, 0.183) (multiplicity 4)
O (0.074, 0.268, 0.799) (multiplicity 8)
O (0.170, 0.000, 0.322) (multiplicity 4)

=====

The following is a DFT calculation (PBE) of a relaxed structure of NpCu2AgS4.

Values from the calculation:
Formation energy without anion corrections   -452.6 meV/atom
Magnetization   2.98 μB/f.u.

Cell lengths 6.511, 6.511, 6.911 Å; angles 90.00, 90.00, 90.00 degrees
Space group I-42m (No. 121)
One atom of each set of equivalent atoms:
Np (0.000, 0.000, 0.000) (multiplicity 2)
Cu (0.000, 0.500, 0.250) (multiplicity 4)
Ag (0.000, 0.000, 0.500) (multiplicity 2)
S (0.221, 0.221, 0.714) (multiplicity 8)